PBE SrAc2Y, optimized geometry; space-group type = R3m; E_form = 0.064 eV/atom; Fermi-level density of states = 5.1 states/eV per cell; mass density = 6.09 g/cm³; DFT total energy = -16.105 eV/f.u.; offset from the most stable computed form = 3 meV/atom
1.0
3.927 0.000 0.000
1.964 3.401 0.000
1.964 1.134 12.869
Sr Ac Y
1 2 1
Cartesian
3.927 2.267 6.449 Sr
1.964 1.134 9.901 Ac
1.964 1.134 2.954 Ac
5.891 3.401 12.868 Y